A relaxed structure of CsSnTeCl. Source: Alexandria, functional PBE.

Results
- space-group type = R3m (160)
- ΔE_f (raw) (meV/atom) = -988

Cell lengths 8.9713, 8.9713, 8.9713 Å; angles 29.72, 29.72, 29.72 degrees
Atoms (fractional coordinates):
Cs1 0.0000 0.0000 0.0000
Sn1 0.8399 0.8399 0.8399
Te1 0.4454 0.4454 0.4454
Cl1 0.2522 0.2522 0.2522

---

A relaxed structure of Al2VBr8. Source: Alexandria, functional PBE.

Results
- space-group type = C2/m (12)
- ΔE_f (raw) (meV/atom) = -1022

Cell lengths 8.1505, 8.1505, 6.3289 Å; angles 93.87, 93.87, 78.11 degrees
Atoms (fractional coordinates):
Al1 0.1872 0.1872 0.1408
Al2 0.8128 0.8128 0.8592
V1 0.0000 0.0000 0.5000
Br1 0.0837 0.7310 0.7274
Br2 0.1773 0.1773 0.7665
Br3 0.2690 0.9163 0.2726
Br4 0.3626 0.3626 0.2527
Br5 0.6374 0.6374 0.7473
Br6 0.7310 0.0837 0.7274
Br7 0.8227 0.8227 0.2334
Br8 0.9163 0.2690 0.2726

---

A relaxed structure of Sr6NiH2. Source: Alexandria, functional PBE.

Results
- space-group type = P2_1/c (14)
- raw total energy (eV/atom) = -2.640

Cell lengths 7.2166, 6.7878, 14.2676 Å; angles 90.00, 120.31, 90.00 degrees
Atoms (fractional coordinates):
Sr1 0.0028 0.2471 0.3319
Sr2 0.0028 0.2529 0.8319
Sr3 0.3400 0.2449 0.6689
Sr4 0.3400 0.2551 0.1689
Sr5 0.3452 0.7258 0.9996
Sr6 0.3452 0.7742 0.4996
Sr7 0.6548 0.2258 0.5004
Sr8 0.6548 0.2742 0.0004
Sr9 0.6600 0.7449 0.8311
Sr10 0.6600 0.7551 0.3311
Sr11 0.9972 0.7471 0.1681
Sr12 0.9972 0.7529 0.6681
Ni1 0.0000 0.0000 0.5000
Ni2 0.0000 0.5000 0.0000
H1 0.3313 0.0004 0.3305
H2 0.3313 0.4996 0.8305
H3 0.6687 0.9996 0.6695
H4 0.6687 0.5004 0.1695

---

A relaxed structure of Ca2HAu. Source: Alexandria, functional PBE.

Results
- space-group type = P4/mmm (123)
- excess energy over the best structure of this formula in the dataset (eV per formula unit) = 0.81

Cell lengths 3.4860, 3.4860, 7.2356 Å; angles 90.00, 90.00, 90.00 degrees
Atoms (fractional coordinates):
Ca1 0.0000 0.0000 0.2479
Ca2 0.0000 0.0000 0.7521
H1 0.5000 0.5000 0.0000
Au1 0.5000 0.5000 0.5000

---

A relaxed structure of AlSiW3. Source: Alexandria, functional PBE.

Results
- space-group type = Pm-3m (221)
- excess energy over the best structure of this formula in the dataset (eV per formula unit) = 0.00
- ΔE_f (raw) (meV/atom) = 1229

Cell lengths 4.4944, 4.4944, 4.4944 Å; angles 90.00, 90.00, 90.00 degrees
Atoms (fractional coordinates):
Al1 0.0000 0.0000 0.0000
Si1 0.5000 0.5000 0.5000
W1 0.0000 0.5000 0.5000
W2 0.5000 0.0000 0.5000
W3 0.5000 0.5000 0.0000

---

A relaxed structure of CsYPbF6. Source: Alexandria, functional PBE.

Results
- space-group type = Imma (74)
- ΔE_f (raw) (meV/atom) = -3205

Cell lengths 8.2176, 8.2176, 8.2176 Å; angles 119.78, 118.59, 91.42 degrees
Atoms (fractional coordinates):
Cs1 0.3920 0.1420 0.2500
Cs2 0.6080 0.8580 0.7500
Y1 0.0000 0.5000 0.5000
Y2 0.5000 0.5000 0.0000
Pb1 0.0000 0.0000 0.5000
Pb2 0.0000 0.5000 0.0000
F1 0.1096 0.8596 0.2500
F2 0.1475 0.4476 0.3269
F3 0.1475 0.8207 0.6999
F4 0.1985 0.4485 0.7500
F5 0.3792 0.1793 0.8269
F6 0.3792 0.5524 0.1999
F7 0.6208 0.4476 0.8001
F8 0.6208 0.8207 0.1731
F9 0.8015 0.5515 0.2500
F10 0.8525 0.1793 0.3001
F11 0.8525 0.5524 0.6731
F12 0.8904 0.1404 0.7500

---

A relaxed structure of LaPmHgBi. Source: Alexandria, functional PBE.

Results
- space-group type = F-43m (216)
- raw total energy (eV/atom) = -4.073

Cell lengths 5.5473, 5.5473, 5.5473 Å; angles 60.00, 60.00, 60.00 degrees
Atoms (fractional coordinates):
La1 0.0000 0.0000 0.0000
Pm1 0.5000 0.5000 0.5000
Hg1 0.2500 0.2500 0.2500
Bi1 0.7500 0.7500 0.7500

---

A relaxed structure of Sr2HgPPt. Source: Alexandria, functional PBE.

Results
- space-group type = P4/mmm (123)
- excess energy over the best structure of this formula in the dataset (eV per formula unit) = 0.00

Cell lengths 5.8641, 5.8641, 4.4401 Å; angles 90.00, 90.00, 90.00 degrees
Atoms (fractional coordinates):
Sr1 0.0000 0.5000 0.0000
Sr2 0.5000 0.0000 0.0000
Hg1 0.0000 0.0000 0.5000
P1 0.5000 0.5000 0.0000
Pt1 0.5000 0.5000 0.5000

---

no.,spin magnetization (μB/cell)
1,0.00
2,3.00
3,0.00
4,0.00
5,0.00
6,0.00
7,0.00
8,0.00